This record from the Alexandria database describes an optimized crystal structure of Pa6TeSe5. The functional is PBE-GGA. Values from VASP.

Structure (Quantum ESPRESSO input):
```
&SYSTEM
  ibrav = 0, nat = 12, ntyp = 3
/
ATOMIC_SPECIES
Se 78.96 Se.upf
Pa 231.04 Pa.upf
Te 127.60 Te.upf
CELL_PARAMETERS angstrom
-4.400 -2.775 4.743
0.718 2.994 6.310
-4.097 5.877 1.583
ATOMIC_POSITIONS crystal
Se 0.000 0.330 0.340
Se 0.000 0.670 0.660
Se 0.500 0.845 0.311
Se 0.500 0.155 0.689
Se 0.500 0.500 0.000
Pa 0.266 0.909 0.651
Pa 0.266 0.560 0.349
Pa 0.249 0.270 0.000
Pa 0.751 0.730 0.000
Pa 0.734 0.091 0.349
Pa 0.734 0.440 0.651
Te 0.000 0.000 0.000
```

Values from the calculation:
The crystal system is monoclinic. Its magnetic moment is 0.289 μB per atom. For the density of states at the Fermi level, the calculation gives 2.040 states/eV per atom. For the raw total energy, the calculation gives -7.554 eV per atom. As for the uncorrected formation energy: -1.093 eV/atom.

---

This record from the Alexandria database describes an optimized crystal structure of Li3PrIn2. The functional is PBE-GGA. Values from VASP.

Structure (Quantum ESPRESSO input):
```
&SYSTEM
  ibrav = 0, nat = 12, ntyp = 3
/
ATOMIC_SPECIES
Li 6.94 Li.upf
Pr 140.91 Pr.upf
In 114.82 In.upf
CELL_PARAMETERS angstrom
4.579 0.000 1.219
1.829 6.969 2.339
0.129 0.319 8.726
ATOMIC_POSITIONS crystal
Li 0.412 0.493 0.683
Li 0.588 0.507 0.317
Li 0.952 0.709 0.387
Li 0.260 0.913 0.568
Li 0.048 0.291 0.613
Li 0.740 0.087 0.432
Pr 0.867 0.259 0.008
Pr 0.133 0.741 0.992
In 0.565 0.075 0.795
In 0.208 0.313 0.271
In 0.435 0.925 0.205
In 0.792 0.687 0.729
```

Values from the calculation:
The crystal system is monoclinic. Its magnetic moment is 0.000 μB per atom. For the density of states at the Fermi level, the calculation gives 0.623 states/eV per atom. For the raw total energy, the calculation gives -2.973 eV per atom. Its formation energy from the elements is -0.31 eV per atom.

---

This record from the Alexandria database describes an optimized crystal structure of SrCe3S6. The functional is PBE-GGA. Values from VASP.

Structure (Quantum ESPRESSO input):
```
&SYSTEM
  ibrav = 0, nat = 20, ntyp = 3
/
ATOMIC_SPECIES
Ce 140.12 Ce.upf
S 32.06 S.upf
Sr 87.62 Sr.upf
CELL_PARAMETERS angstrom
-2.904 1.651 2.520
-7.688 -1.209 -8.067
2.881 -9.285 9.404
ATOMIC_POSITIONS crystal
Ce 0.250 0.342 0.825
Ce 0.750 0.658 0.175
Ce 0.250 0.825 0.517
Ce 0.750 0.089 0.925
Ce 0.750 0.175 0.483
Ce 0.250 0.911 0.075
S 0.250 0.571 0.273
S 0.750 0.876 0.415
S 0.250 0.175 0.098
S 0.250 0.639 0.027
S 0.250 0.316 0.438
S 0.750 0.684 0.562
S 0.750 0.960 0.224
S 0.750 0.429 0.727
S 0.750 0.361 0.973
S 0.250 0.124 0.585
S 0.250 0.040 0.776
S 0.750 0.825 0.902
Sr 0.250 0.606 0.688
Sr 0.750 0.394 0.312
```

Values from the calculation:
The crystal system is monoclinic. Its magnetic moment is 0.202 μB per atom. For the density of states at the Fermi level, the calculation gives 1.641 states/eV per atom. For the raw total energy, the calculation gives -6.406 eV per atom. As for the uncorrected formation energy: -1.981 eV/atom.